Here is CeSc2Tl4 after structural relaxation from Alexandria via LeMat-Bulk. Energies are from PBE-GGA.

a b c (Å): 5.069 5.069 7.573
angles (deg): 90.00 90.00 90.00
Each line ends with the local moment (μB).
Fractional coordinates of all 7 atoms:
Ce 0.500 0.500 0.000  0.91
Sc 0.000 0.000 0.000  0.41
Sc 0.500 0.500 0.500  0.05
Tl 0.500 0.000 0.280  0.01
Tl 0.000 0.500 0.720  0.01
Tl 0.500 0.000 0.720  0.01
Tl 0.000 0.500 0.280  0.01

The crystal system is tetragonal. Its density of states at the Fermi level is 1.602 states/eV/atom.


Here is CeSc4Tl4 after structural relaxation from Alexandria via LeMat-Bulk. Energies are from PBE-GGA.

a b c (Å): 7.029 7.029 10.044
angles (deg): 90.00 90.00 90.00
Each line ends with the local moment (μB).
Fractional coordinates of all 18 atoms:
Ce 0.000 0.000 0.000  1.14
Ce 0.500 0.500 0.500  1.14
Sc 0.233 0.500 0.912  0.15
Sc 0.767 0.500 0.912  0.15
Sc 0.500 0.767 0.088  0.15
Sc 0.500 0.233 0.088  0.15
Sc 0.000 0.733 0.412  0.15
Sc 0.000 0.267 0.412  0.15
Sc 0.267 0.000 0.588  0.15
Sc 0.733 0.000 0.588  0.15
Tl 0.500 0.782 0.791  0.00
Tl 0.500 0.218 0.791  0.00
Tl 0.782 0.500 0.209  0.00
Tl 0.218 0.500 0.209  0.00
Tl 0.282 0.000 0.291  0.00
Tl 0.718 0.000 0.291  0.00
Tl 0.000 0.282 0.709  0.00
Tl 0.000 0.718 0.709  0.00

The crystal system is tetragonal. Its density of states at the Fermi level is 1.655 states/eV/atom.


Here is Ce2Sc3Tl4 after structural relaxation from Alexandria via LeMat-Bulk. Energies are from PBE-GGA.

a b c (Å): 6.802 8.728 8.930
angles (deg): 90.00 112.39 90.00
Each line ends with the local moment (μB).
Fractional coordinates of all 18 atoms:
Ce 0.112 0.582 0.224  0.85
Ce 0.888 0.418 0.776  0.85
Ce 0.388 0.082 0.776  0.85
Ce 0.612 0.918 0.224  0.85
Sc 0.000 0.000 0.000  -0.07
Sc 0.500 0.500 0.000  -0.07
Sc 0.533 0.750 0.566  0.06
Sc 0.967 0.250 0.434  0.06
Sc 0.467 0.250 0.434  0.06
Sc 0.033 0.750 0.566  0.06
Tl 0.709 0.750 0.919  0.00
Tl 0.791 0.250 0.081  0.00
Tl 0.291 0.250 0.081  0.00
Tl 0.209 0.750 0.919  0.00
Tl 0.182 0.955 0.364  0.00
Tl 0.818 0.045 0.636  0.00
Tl 0.318 0.455 0.636  0.00
Tl 0.682 0.545 0.364  0.00

The crystal system is orthorhombic. Its density of states at the Fermi level is 2.197 states/eV/atom.


The records above yield calculated formation energy values of -0.953; -0.677; -1.548 eV/f.u., respectively.
The records above yield raw total energy values of -29.015; -82.804; -83.751 eV per cell, respectively.